Density functional theory data (SCAN) for TlAu2Cl at its PBEsol-relaxed geometry.

Lattice parameters (Å, degrees): 3.837 3.837 5.735 90.00 90.00 90.00
Fractional coordinates of all 4 atoms:
Tl1 0.000 0.000 0.000
Au1 0.500 0.500 0.242
Au2 0.500 0.500 0.758
Cl1 0.000 0.000 0.500

Output
electronic total energy: -4.01024 Ry/atom
offset from the most stable computed form: 150 meV/atom